Density functional theory data (GGA-PBE) for a relaxed NiS crystal.

Output
Raw total energy in eV/atom: -5.34
Fermi-level density of states in states/eV per cell: 7.72

a b c (Å): 6.188 6.188 3.430
angles (deg): 90.00 90.00 90.00
Fractional positions:
Ni: 0.142 0.142 0.000
Ni: 0.358 0.642 0.500
Ni: 0.642 0.358 0.500
Ni: 0.858 0.858 0.000
S: 0.205 0.795 0.000
S: 0.295 0.295 0.500
S: 0.705 0.705 0.500
S: 0.795 0.205 0.000



Density functional theory data (GGA-PBE) for a relaxed CaLa3Tc crystal.

Output
ΔH_f (0 K) in kJ/mol of atoms: -0.3
Distance to the lowest polymorph of the same formula in meV per atom: 13.0
Fermi-level density of states in states/eV per cell: 5.38

a b c (Å): 6.960 6.964 7.911
angles (deg): 90.86 106.31 98.24
Fractional positions:
Ca: 0.000 0.000 0.000
Ca: 0.494 0.247 0.879
La: 0.492 0.747 0.619
La: 0.494 0.256 0.384
La: 0.499 0.751 0.126
La: 0.991 0.498 0.249
La: 0.996 0.008 0.495
La: 0.998 0.503 0.741
Tc: 0.208 0.345 0.542
Tc: 0.720 0.674 0.415